Material: NiSeO4
Method: DFT, PBE with a Hubbard U
State: relaxed

Cell and atoms, written as POSCAR:
```
NiSeO4
1.0
4.958 0.000 0.000
-1.938 4.564 0.000
0.000 0.000 6.485
Ni Se O
2 2 8
Direct
0.000 0.000 0.000
0.000 0.000 0.500
0.350 0.650 0.750
0.650 0.350 0.250
0.756 0.244 0.033
0.277 0.225 0.250
0.225 0.277 0.750
0.244 0.756 0.967
0.723 0.775 0.750
0.756 0.244 0.467
0.775 0.723 0.250
0.244 0.756 0.533
```

Output
Final energy = -5.113 eV/atom
DOS at the Fermi energy = 0.00 states/eV per atom
Magnetization = 1.99 μB per formula unit